No. 1
{"formula": "GaP2HPt", "functional": "PBE-GGA", "state": "optimized geometry", "e_tot_ev_per_atom": -4.795, "n_ef_per_ev_atom": 0.13, "spacegroup": "Cm", "m_tot_mub_per_cell": 0.0, "polymorph_energy_mev_per_atom": 125, "cell": [[-5.324, 1.258, 1.186], [-0.115, -2.451, 2.084], [4.555, 4.675, 5.750]], "species": ["P", "P", "P", "P", "Ga", "Ga", "Pt", "Pt", "H", "H"], "frac_coords": [[0.848, 0.500, 0.663], [0.841, 0.500, 0.331], [0.848, 0.000, 0.163], [0.841, 0.000, 0.831], [0.366, 0.000, 0.791], [0.366, 0.500, 0.291], [0.196, 0.000, 0.050], [0.196, 0.500, 0.550], [0.522, 0.500, 0.576], [0.522, 0.000, 0.076]]}

=====

No. 2
{"formula": "GaP2HPt", "functional": "PBE-GGA", "state": "optimized geometry", "e_tot_ev_per_atom": -4.864, "n_ef_per_ev_atom": 0.24, "spacegroup": "P1", "m_tot_mub_per_cell": 0.0, "polymorph_energy_mev_per_atom": 55, "cell": [[3.774, -0.003, -0.002], [-0.073, 4.380, 0.016], [-0.210, -1.141, 4.672]], "species": ["Pt", "H", "P", "P", "Ga"], "frac_coords": [[0.061, 0.549, 0.027], [0.018, 0.263, 0.698], [0.552, 0.818, 0.881], [0.556, 0.281, 0.176], [0.266, 0.972, 0.474]]}

=====

Copy entry 2 word for word.
{"formula": "GaP2HPt", "functional": "PBE-GGA", "state": "optimized geometry", "e_tot_ev_per_atom": -4.864, "n_ef_per_ev_atom": 0.24, "spacegroup": "P1", "m_tot_mub_per_cell": 0.0, "polymorph_energy_mev_per_atom": 55, "cell": [[3.774, -0.003, -0.002], [-0.073, 4.380, 0.016], [-0.210, -1.141, 4.672]], "species": ["Pt", "H", "P", "P", "Ga"], "frac_coords": [[0.061, 0.549, 0.027], [0.018, 0.263, 0.698], [0.552, 0.818, 0.881], [0.556, 0.281, 0.176], [0.266, 0.972, 0.474]]}